First-principles (meta-GGA SCAN) data for HfPdAu at its PBEsol-relaxed geometry, as listed in Alexandria via LeMat-Bulk.

## Properties
E: -4.10184 Ry/atom
ΔE_f: -0.9403 eV per atom

Unit cell a=3.455 b=3.455 c=4.933 alpha=110.50 beta=110.50 gamma=90.00
Element x y z (fractional)
Au 0.277 0.277 0.554
Hf 0.609 0.609 0.218
Pd 0.950 0.950 0.899

***

First-principles (meta-GGA SCAN) data for Y2Al3Ga3B8O24 at its PBEsol-relaxed geometry, as listed in Alexandria via LeMat-Bulk.

## Properties
E: -0.83040 Ry/atom
energy relative to the elements, uncorrected: -2.8740 eV per atom

Unit cell a=5.932 b=5.953 c=11.158 alpha=97.98 beta=97.78 gamma=104.31
Element x y z (fractional)
Y 0.999 0.997 0.999
Y 0.499 0.499 0.499
Al 0.445 0.555 0.999
Al 0.330 0.775 0.779
Al 0.831 0.277 0.276
Ga 0.722 0.171 0.726
Ga 0.224 0.672 0.223
Ga 0.949 0.051 0.499
B 0.029 0.581 0.528
B 0.527 0.085 0.027
B 0.803 0.694 0.751
B 0.307 0.198 0.249
B 0.917 0.474 0.973
B 0.420 0.972 0.473
B 0.252 0.252 0.753
B 0.750 0.750 0.248
O 0.452 0.862 0.954
O 0.957 0.364 0.451
O 0.654 0.838 0.755
O 0.154 0.339 0.250
O 0.639 0.043 0.547
O 0.141 0.551 0.042
O 0.237 0.636 0.611
O 0.737 0.139 0.109
O 0.708 0.470 0.683
O 0.214 0.973 0.182
O 0.766 0.614 0.986
O 0.276 0.119 0.484
O 0.881 0.725 0.515
O 0.385 0.235 0.013
O 0.864 0.259 0.896
O 0.366 0.760 0.394
O 0.031 0.782 0.814
O 0.534 0.288 0.313
O 0.327 0.474 0.826
O 0.822 0.973 0.319
O 0.392 0.097 0.754
O 0.893 0.599 0.252
O 0.032 0.180 0.678
O 0.531 0.675 0.171

***

First-principles (meta-GGA SCAN) data for ZrNi2Os at its PBEsol-relaxed geometry, as listed in Alexandria via LeMat-Bulk.

## Properties
E: -2.49006 Ry/atom
ΔE_f: -0.1477 eV per atom

Unit cell a=2.673 b=4.167 c=4.970 alpha=90.00 beta=100.89 gamma=90.00
Element x y z (fractional)
Ni 0.840 0.000 0.006
Ni 0.902 0.500 0.272
Os 0.500 0.000 0.439
Zr 0.259 0.500 0.783

***

First-principles (meta-GGA SCAN) data for ZnOs3Pd at its PBEsol-relaxed geometry, as listed in Alexandria via LeMat-Bulk.

## Properties
E: -3.68202 Ry/atom
ΔE_f: 2.2894 eV per atom

Unit cell a=4.387 b=4.387 c=4.387 alpha=90.00 beta=90.00 gamma=90.00
Element x y z (fractional)
Zn 0.000 0.000 0.000
Os 0.000 0.500 0.000
Os 0.000 0.000 0.500
Os 0.500 0.000 0.000
Pd 0.500 0.500 0.500

***

First-principles (meta-GGA SCAN) data for AlGaNi6 at its PBEsol-relaxed geometry, as listed in Alexandria via LeMat-Bulk.

## Properties
E: -1.14126 Ry/atom
ΔE_f: -0.3853 eV per atom

Unit cell a=3.520 b=3.520 c=7.046 alpha=90.00 beta=90.00 gamma=90.00
Element x y z (fractional)
Ni 0.500 0.500 0.000
Ni 0.500 0.500 0.500
Ni 0.500 0.000 0.249
Ni 0.500 0.000 0.751
Ni 0.000 0.500 0.249
Ni 0.000 0.500 0.751
Al 0.000 0.000 0.000
Ga 0.000 0.000 0.500

***

First-principles (meta-GGA SCAN) data for Sr2CdTcGe at its PBEsol-relaxed geometry, as listed in Alexandria via LeMat-Bulk.

## Properties
E: -1.83240 Ry/atom
ΔE_f: 0.8914 eV per atom

Unit cell a=4.731 b=6.019 c=6.019 alpha=90.00 beta=90.00 gamma=90.00
Element x y z (fractional)
Sr 0.000 0.000 0.500
Sr 0.000 0.500 0.000
Ge 0.500 0.000 0.000
Tc 0.500 0.500 0.500
Cd 0.000 0.000 0.000

***

Question: What is the formula in the fifth record?
Answer: AlGaNi6

***

Question: E of number 4 (ZnOs3Pd)?
Answer: -3.68202 Ry/atom

***

Question: The lowest E belongs to which entry?
Answer: HfPdAu

***

Please write out number 5 again, unchanged.
First-principles (meta-GGA SCAN) data for AlGaNi6 at its PBEsol-relaxed geometry, as listed in Alexandria via LeMat-Bulk.

## Properties
E: -1.14126 Ry/atom
ΔE_f: -0.3853 eV per atom

Unit cell a=3.520 b=3.520 c=7.046 alpha=90.00 beta=90.00 gamma=90.00
Element x y z (fractional)
Ni 0.500 0.500 0.000
Ni 0.500 0.500 0.500
Ni 0.500 0.000 0.249
Ni 0.500 0.000 0.751
Ni 0.000 0.500 0.249
Ni 0.000 0.500 0.751
Al 0.000 0.000 0.000
Ga 0.000 0.000 0.500